(1)
CaNbSe3: optimized geometry, PBE.

Computed properties:
Offset from the most stable computed form (eV/atom): 0.000
Mass density (kg/m3): 4669
N(E_F) (states/eV/f.u.): 1.7
Formation energy without anion corrections (eV/atom): -0.866

a = 5.0859 Å, b = 5.0859 Å, c = 5.0859 Å
α = 90.00°, β = 90.00°, γ = 90.00°
Last column: nearest neighbours and their distance in Å.
Space group Pm-3m (No. 221)
One atom of each set of equivalent atoms:
Ca 0.0000 0.0000 0.0000 [1 per cell]  12 Se 3.60
Nb 0.5000 0.5000 0.5000 [1 per cell]  6 Se 2.54
Se 0.0000 0.5000 0.5000 [3 per cell]  2 Nb 2.54


(2)
LaSc2Ta: optimized geometry, PBE.

Computed properties:
Energy of formation from the pure elements (eV per atom): 0.275
Mass density (kg/m3): 6992
N(E_F) (states/eV/f.u.): 5.3

a = 5.0867 Å, b = 3.0964 Å, c = 12.3569 Å
α = 90.00°, β = 90.00°, γ = 90.00°
Last column: nearest neighbours and their distance in Å.
Space group Amm2 (No. 38)
One atom of each set of equivalent atoms:
La 0.0000 0.0000 0.0000 [2 per cell]  1 Sc 2.92, 2 La 3.10
Sc 0.0000 0.0000 0.7640 [2 per cell]  1 La 2.92, 4 Sc 3.00-3.10, 4 Ta 3.17
Sc 0.5000 0.0000 0.6359 [2 per cell]  4 Sc 3.00-3.10, 2 Ta 3.09
Ta 0.5000 0.0000 0.3522 [2 per cell]  6 Sc 3.09-3.17, 2 Ta 3.10


(3)
Pm3PrY6: optimized geometry, PBE.

Computed properties:
Energy of formation from the pure elements (eV per atom): 0.259
Offset from the most stable computed form (eV/atom): 0.118
Mass density (kg/m3): 5453
N(E_F) (states/eV/f.u.): 21.1

a = 10.0025 Å, b = 10.0025 Å, c = 11.6966 Å
α = 90.00°, β = 90.00°, γ = 120.00°
Last column: nearest neighbours and their distance in Å.
Space group R3 (No. 146, hexagonal axes)
One atom of each set of equivalent atoms:
Pm 0.0000 0.0000 0.0000 [3 per cell]  1 Pm 2.90, 1 Pr 2.95
Pm 0.0000 0.0000 0.2481 [3 per cell]  2 Pm 2.90
Pm 0.0000 0.0000 0.4964 [3 per cell]  1 Pm 2.90, 1 Pr 2.94
Pr 0.0000 0.0000 0.7480 [3 per cell]  2 Pm 2.94-2.95, 3 Y 3.27
Y 0.9999 0.3273 0.7474 [9 per cell]  1 Pr 3.27, 2 Pm 3.50
Y 0.0000 0.6740 0.2474 [9 per cell]  3 Pm 3.26-3.52


(4)
Tb2Sm4Y2Tm: optimized geometry, PBE.

Computed properties:
Energy of formation from the pure elements (eV per atom): 0.018
Mass density (kg/m3): 7165
N(E_F) (states/eV/f.u.): 12.6

a = 18.6326 Å, b = 3.5807 Å, c = 8.7956 Å
α = 90.00°, β = 90.02°, γ = 90.00°
Last column: nearest neighbours and their distance in Å.
Space group C2/m (No. 12)
One atom of each set of equivalent atoms:
Tb 0.1661 0.0000 0.4994 [4 per cell]  4 Sm 3.56-3.59, 2 Tm 3.58, 2 Y 3.58, 4 Tb 3.58-3.60
Sm 0.0551 0.0000 0.1703 [4 per cell]  1 Tb 3.56, 2 Tm 3.56, 4 Y 3.57-3.63, 5 Sm 3.58-3.63
Sm 0.2221 0.5000 0.1687 [4 per cell]  3 Tb 3.57-3.59, 6 Sm 3.58-3.62, 3 Y 3.59-3.62
Y 0.1109 0.5000 0.8317 [4 per cell]  7 Sm 3.57-3.63, 1 Tm 3.57, 2 Tb 3.58, 2 Y 3.58
Tm 0.0000 0.5000 0.5000 [2 per cell]  4 Sm 3.56, 2 Y 3.57, 4 Tb 3.58, 2 Tm 3.58


(5)
MoPdI2N: optimized geometry, PBE.

Computed properties:
Offset from the most stable computed form (eV/atom): 0.709
Mass density (kg/m3): 6249
N(E_F) (states/eV/f.u.): 4.3
Formation energy without anion corrections (eV/atom): 1.209

a = 5.7653 Å, b = 5.7653 Å, c = 3.7586 Å
α = 90.00°, β = 90.00°, γ = 90.00°
Last column: nearest neighbours and their distance in Å.
Space group P4/mmm (No. 123)
One atom of each set of equivalent atoms:
Mo 0.0000 0.0000 0.0000 [1 per cell]  8 I 3.44, 2 Mo 3.76
Pd 0.5000 0.5000 0.5000 [1 per cell]  2 N 1.88
I 0.0000 0.5000 0.5000 [2 per cell]  2 Pd 2.88
N 0.5000 0.5000 0.0000 [1 per cell]  2 Pd 1.88


(6)
MgAg2: optimized geometry, PBE.

Computed properties:
Energy of formation from the pure elements (eV per atom): -0.079
Offset from the most stable computed form (eV/atom): 0.098
Mass density (kg/m3): 7170
N(E_F) (states/eV/f.u.): 0.9

a = 3.0420 Å, b = 14.9655 Å, c = 4.8848 Å
α = 90.00°, β = 90.00°, γ = 90.00°
Last column: nearest neighbours and their distance in Å.
Space group Cmcm (No. 63)
One atom of each set of equivalent atoms:
Mg 0.0000 0.2163 0.2500 [4 per cell]  6 Ag 2.86-2.94, 6 Mg 3.04-3.05
Ag 0.0000 0.1157 0.7500 [4 per cell]  4 Mg 2.87-2.94, 8 Ag 2.97-3.04
Ag 0.0000 0.4456 0.7500 [4 per cell]  2 Mg 2.86, 10 Ag 2.94-3.04


(7)
NdNp3Tl4Se8: optimized geometry, PBE.

Computed properties:
Mass density (kg/m3): 7877
N(E_F) (states/eV/f.u.): 31.3
Formation energy without anion corrections (eV/atom): -1.031

a = 8.5076 Å, b = 8.5076 Å, c = 23.2496 Å
α = 90.00°, β = 90.00°, γ = 120.00°
Last column: nearest neighbours and their distance in Å.
Space group R-3m (No. 166, hexagonal axes)
One atom of each set of equivalent atoms:
Nd 0.0000 0.0000 0.0000 [3 per cell]  6 Se 2.97
Np 0.0000 0.5000 0.0000 [9 per cell]  6 Se 2.91
Tl 0.0000 0.0000 0.5000 [3 per cell]  6 Se 3.31
Tl 0.0000 0.5000 0.5000 [9 per cell]  6 Se 3.36-3.37
Se 0.0000 0.0000 0.2662 [6 per cell]  3 Np 2.91
Se 0.0062 0.5031 0.2644 [18 per cell]  2 Np 2.91, 1 Nd 2.97


(8)
CeNd12Ru7: optimized geometry, PBE.

Computed properties:
Energy of formation from the pure elements (eV per atom): -0.162
Mass density (kg/m3): 7348
N(E_F) (states/eV/f.u.): 15.6

a = 14.8517 Å, b = 14.8517 Å, c = 9.1512 Å
α = 90.00°, β = 90.00°, γ = 120.00°
Last column: nearest neighbours and their distance in Å.
Space group R-3 (No. 148, hexagonal axes)
One atom of each set of equivalent atoms:
Ce 0.0000 0.0000 0.0000 [3 per cell]  6 Ru 2.61
Nd 0.0066 0.5761 0.3336 [18 per cell]  3 Ru 2.81-2.87
Nd 0.0446 0.8773 0.3006 [18 per cell]  3 Ru 2.88-3.03
Ru 0.0000 0.0000 0.5000 [3 per cell]  6 Nd 2.88
Ru 0.0453 0.8618 0.9029 [18 per cell]  1 Ce 2.61, 3 Nd 2.81-2.87


(9)
ScAl2W: optimized geometry, PBE.

Computed properties:
Energy of formation from the pure elements (eV per atom): -0.085
Offset from the most stable computed form (eV/atom): 0.119
Mass density (kg/m3): 6905
N(E_F) (states/eV/f.u.): 3.3

a = 3.9141 Å, b = 3.9141 Å, c = 8.8768 Å
α = 90.00°, β = 90.00°, γ = 90.00°
Last column: nearest neighbours and their distance in Å.
Space group I-4m2 (No. 119)
One atom of each set of equivalent atoms:
Sc 0.0000 0.0000 0.0000 [2 per cell]  8 Al 2.77-2.96, 4 W 2.96
Al 0.0000 0.0000 0.5000 [2 per cell]  4 Sc 2.77, 4 W 2.96, 4 Al 2.96
Al 0.0000 0.5000 0.2500 [2 per cell]  4 W 2.77, 4 Sc 2.96, 4 Al 2.96
W 0.0000 0.5000 0.7500 [2 per cell]  8 Al 2.77-2.96, 4 Sc 2.96


(10)
Fe4SiAu: optimized geometry, PBE.

Computed properties:
Mass density (kg/m3): 9431
N(E_F) (states/eV/f.u.): 4.5
Formation energy without anion corrections (eV/atom): 0.216

a = 6.8100 Å, b = 6.8100 Å, c = 6.8100 Å
α = 90.00°, β = 90.00°, γ = 90.00°
Last column: nearest neighbours and their distance in Å.
Space group F-43m (No. 216)
One atom of each set of equivalent atoms:
Fe 0.1241 0.1241 0.3759 [16 per cell]  6 Fe 2.39-2.43
Si 0.2500 0.2500 0.7500 [4 per cell]  12 Fe 2.82, 4 Au 2.95
Au 0.0000 0.0000 0.0000 [4 per cell]  12 Fe 2.83, 4 Si 2.95


(11)
CuAg2BiF6: optimized geometry, PBE.

Computed properties:
Mass density (kg/m3): 5956
Formation energy without anion corrections (eV/atom): -1.531

a = 5.8815 Å, b = 5.9445 Å, c = 11.1110 Å
α = 90.00°, β = 120.18°, γ = 90.00°
Last column: nearest neighbours and their distance in Å.
Space group P2_1/c (No. 14)
One atom of each set of equivalent atoms:
Cu 0.0000 0.0000 0.0000 [2 per cell]  2 F 1.94
Ag 0.2126 0.0361 0.7398 [4 per cell]  4 F 2.37-2.45
Bi 0.5000 0.0000 0.5000 [2 per cell]  6 F 2.26-2.34
F 0.1578 0.2416 0.4637 [4 per cell]  1 Cu 1.94
F 0.1846 0.7337 0.3889 [4 per cell]  1 Bi 2.27, 2 Ag 2.37-2.45, 1 Cu 2.44
F 0.4432 0.1090 0.2917 [4 per cell]  1 Bi 2.26, 2 Ag 2.38-2.42


(12)
LiTmSO4: optimized geometry, PBE.

Computed properties:
Mass density (kg/m3): 4769
N(E_F) (states/eV/f.u.): 0.0
Formation energy without anion corrections (eV/atom): -2.025

a = 6.7032 Å, b = 7.2043 Å, c = 7.8422 Å
α = 90.00°, β = 90.00°, γ = 90.00°
Last column: nearest neighbours and their distance in Å.
Space group Imma (No. 74)
One atom of each set of equivalent atoms:
Li 0.0000 0.0000 0.0000 [4 per cell]  2 O 1.82
Tm 0.2500 0.2500 0.2500 [4 per cell]  6 O 2.19-2.38
S 0.0000 0.2500 0.6609 [4 per cell]  2 O 1.51
O 0.0000 0.0548 0.2269 [8 per cell]  1 Li 1.82
O 0.1824 0.2500 0.5485 [8 per cell]  1 S 1.51


(13)
Ta2CoPd2: optimized geometry, PBE.

Computed properties:
Energy of formation from the pure elements (eV per atom): 0.134
Mass density (kg/m3): 12872
N(E_F) (states/eV/f.u.): 3.8

a = 7.0069 Å, b = 7.0069 Å, c = 3.3299 Å
α = 90.00°, β = 90.00°, γ = 90.00°
Last column: nearest neighbours and their distance in Å.
Space group P4/mbm (No. 127)
One atom of each set of equivalent atoms:
Ta 0.1760 0.3240 0.0000 [4 per cell]  6 Pd 2.53-2.74
Co 0.0000 0.0000 0.5000 [2 per cell]  4 Pd 2.74
Pd 0.1312 0.6312 0.5000 [4 per cell]  6 Ta 2.53-2.74, 1 Pd 2.60, 2 Co 2.74


(14)
Ca2CuAg: optimized geometry, PBE.

Computed properties:
Energy of formation from the pure elements (eV per atom): 0.051
Mass density (kg/m3): 4601
N(E_F) (states/eV/f.u.): 4.3

a = 7.1346 Å, b = 7.1346 Å, c = 7.1346 Å
α = 90.00°, β = 90.00°, γ = 90.00°
Last column: nearest neighbours and their distance in Å.
Space group F-43m (No. 216)
One atom of each set of equivalent atoms:
Ca 0.0000 0.0000 0.0000 [4 per cell]  4 Ag 3.09, 4 Ca 3.09
Ca 0.2500 0.2500 0.2500 [4 per cell]  4 Ca 3.09, 4 Cu 3.09
Cu 0.0000 0.0000 0.5000 [4 per cell]  4 Ca 3.09, 4 Ag 3.09
Ag 0.2500 0.2500 0.7500 [4 per cell]  4 Cu 3.09, 4 Ca 3.09


(15)
In2PSe: optimized geometry, PBE.

Computed properties:
Offset from the most stable computed form (eV/atom): 0.083
Mass density (kg/m3): 4810
N(E_F) (states/eV/f.u.): 0.9
Formation energy without anion corrections (eV/atom): -0.185

a = 4.5843 Å, b = 4.5843 Å, c = 6.4411 Å
α = 90.00°, β = 90.00°, γ = 120.00°
Last column: nearest neighbours and their distance in Å.
Space group P3m1 (No. 156)
One atom of each set of equivalent atoms:
In 0.0000 0.0000 0.0000 [1 per cell]  3 P 2.67, 1 Se 2.81
In 0.3333 0.6667 0.4547 [1 per cell]  1 P 2.62, 3 Se 2.74
P 0.3333 0.6667 0.0485 [1 per cell]  4 In 2.62-2.67
Se 0.0000 0.0000 0.5642 [1 per cell]  4 In 2.74-2.81


(16)
LiMg2Os: optimized geometry, PBE.

Computed properties:
Energy of formation from the pure elements (eV per atom): 0.242
Mass density (kg/m3): 6015
N(E_F) (states/eV/f.u.): 3.1

a = 3.0236 Å, b = 4.6879 Å, c = 9.5733 Å
α = 90.00°, β = 90.00°, γ = 90.00°
Last column: nearest neighbours and their distance in Å.
Space group Cmm2 (No. 35)
One atom of each set of equivalent atoms:
Li 0.0000 0.0000 0.0000 [2 per cell]  2 Os 2.61, 4 Li 2.79
Mg 0.0000 0.0000 0.5474 [2 per cell]  2 Os 2.68, 4 Mg 2.79
Mg 0.0000 0.5000 0.2681 [2 per cell]  8 Mg 2.79-3.07, 2 Li 2.98
Os 0.0000 0.5000 0.7779 [2 per cell]  2 Li 2.61, 2 Mg 2.68, 4 Os 2.79


(17)
CeTm5: optimized geometry, PBE.

Computed properties:
Energy of formation from the pure elements (eV per atom): 0.095
Offset from the most stable computed form (eV/atom): 0.039
Mass density (kg/m3): 9079
N(E_F) (states/eV/f.u.): 12.9

a = 5.5020 Å, b = 6.8535 Å, c = 9.5530 Å
α = 90.00°, β = 90.00°, γ = 90.00°
Last column: nearest neighbours and their distance in Å.
Space group Imm2 (No. 44)
One atom of each set of equivalent atoms:
Ce 0.0000 0.0000 0.0000 [2 per cell]  5 Tm 3.09-3.43
Tm 0.0000 0.0000 0.3343 [2 per cell]  1 Ce 3.19, 8 Tm 3.27-3.57
Tm 0.0000 0.2494 0.6776 [4 per cell]  11 Tm 3.42-3.70, 3 Ce 3.52-3.66
Tm 0.0000 0.5000 0.0194 [2 per cell]  3 Tm 3.19-3.27, 2 Ce 3.43
Tm 0.0000 0.5000 0.3529 [2 per cell]  2 Ce 3.09, 3 Tm 3.19-3.43


(18)
CrTeW: optimized geometry, PBE.

Computed properties:
Offset from the most stable computed form (eV/atom): 0.000
Mass density (kg/m3): 11341
N(E_F) (states/eV/f.u.): 1.4
Formation energy without anion corrections (eV/atom): 0.419

a = 5.9707 Å, b = 5.9707 Å, c = 5.9707 Å
α = 90.00°, β = 90.00°, γ = 90.00°
Last column: nearest neighbours and their distance in Å.
Space group F-43m (No. 216)
One atom of each set of equivalent atoms:
Cr 0.0000 0.0000 0.0000 [4 per cell]  4 W 2.59, 4 Te 2.59
Te 0.2500 0.2500 0.2500 [4 per cell]  4 Cr 2.59
W 0.2500 0.2500 0.7500 [4 per cell]  4 Cr 2.59


(19)
CoSn2HgBi: optimized geometry, PBE.

Computed properties:
Energy of formation from the pure elements (eV per atom): 0.190
Offset from the most stable computed form (eV/atom): 0.049
Mass density (kg/m3): 9297
N(E_F) (states/eV/f.u.): 4.1

a = 4.9157 Å, b = 4.9157 Å, c = 5.2177 Å
α = 90.00°, β = 90.00°, γ = 90.00°
Last column: nearest neighbours and their distance in Å.
Space group P4/mmm (No. 123)
One atom of each set of equivalent atoms:
Co 0.0000 0.0000 0.0000 [1 per cell]  4 Sn 2.46, 2 Hg 2.61
Sn 0.0000 0.5000 0.0000 [2 per cell]  2 Co 2.46
Hg 0.0000 0.0000 0.5000 [1 per cell]  2 Co 2.61
Bi 0.5000 0.5000 0.5000 [1 per cell]  4 Hg 3.48, 8 Sn 3.58


(20)
ErTm2Zr3N6: optimized geometry, PBE.

Computed properties:
Mass density (kg/m3): 9183
N(E_F) (states/eV/f.u.): 3.3
Formation energy without anion corrections (eV/atom): -1.780

a = 5.7496 Å, b = 9.9401 Å, c = 5.7881 Å
α = 90.00°, β = 109.39°, γ = 90.00°
Last column: nearest neighbours and their distance in Å.
Space group C2/m (No. 12)
One atom of each set of equivalent atoms:
Er 0.0000 0.0000 0.0000 [2 per cell]  6 N 2.39
Tm 0.0000 0.3333 0.0000 [4 per cell]  6 N 2.38
Zr 0.0000 0.1669 0.5000 [4 per cell]  6 N 2.31-2.32
Zr 0.0000 0.5000 0.5000 [2 per cell]  6 N 2.31-2.32
N 0.2456 0.3327 0.7392 [8 per cell]  3 Zr 2.31-2.32, 2 Tm 2.38, 1 Er 2.39
N 0.2475 0.0000 0.7391 [4 per cell]  3 Zr 2.31-2.32, 2 Tm 2.38, 1 Er 2.39